(1)
## BPdS2N (PBE)

Data for BPdS2N after structural relaxation.

a = 4.9225 Å, b = 4.9225 Å, c = 2.7072 Å
α = 90.00°, β = 90.00°, γ = 90.00°
Closest atoms and distances in Å follow each position.
Element x y z (fractional)
B 0.0000 0.0000 0.0000  2 N 1.35
Pd 0.5000 0.5000 0.5000  2 Pd 2.71, 8 S 2.81
S 0.0000 0.5000 0.0000  2 B 2.46, 2 S 2.71
S 0.5000 0.0000 0.0000  2 B 2.46, 2 S 2.71
N 0.0000 0.0000 0.5000  2 B 1.35

Values from the calculation:
- N(E_F) (states/eV per cell) = 3.5
- energy above the most stable polymorph in this dataset (meV per atom) = 0
- SG = No. 123
- uncorrected formation energy (eV per formula unit) = 2.1

=====

(2)
## BPdSe2N (PBE)

Data for BPdSe2N after structural relaxation.

a = 5.1759 Å, b = 5.1759 Å, c = 2.7446 Å
α = 90.00°, β = 90.00°, γ = 90.00°
Closest atoms and distances in Å follow each position.
Element x y z (fractional)
B 0.0000 0.0000 0.0000  2 N 1.37
Pd 0.5000 0.5000 0.5000  2 Pd 2.74, 8 Se 2.93
Se 0.0000 0.5000 0.0000  2 B 2.59, 2 Se 2.74
Se 0.5000 0.0000 0.0000  2 B 2.59, 2 Se 2.74
N 0.0000 0.0000 0.5000  2 B 1.37

Values from the calculation:
- N(E_F) (states/eV per cell) = 3.1
- energy above the most stable polymorph in this dataset (meV per atom) = 0
- SG = No. 123
- uncorrected formation energy (eV per formula unit) = 1.2

=====

DFT total energy: -26.34, -25.92 (eV per cell)